1.
KSbTe2Se: relaxed, GGA-PBE.

Cell lengths 5.9996, 5.9996, 6.0962 Å; angles 90.00, 90.00, 90.00 degrees
Last column: magnetic moment on the atom in μB.
Fractional positions:
Te 0.0000 0.5000 0.0000  0.19
K 0.0000 0.0000 0.0000  0.03
Se 0.5000 0.5000 0.5000  0.91
Sb 0.0000 0.0000 0.5000  0.30
Te 0.5000 0.0000 0.0000  0.19

## Properties
Total magnetic moment = 3.0 μB per cell
Raw formation energy = 1212 meV per atom

2.
KSbTe2Se: relaxed, GGA-PBE.

Cell lengths 5.6724, 5.6724, 5.5509 Å; angles 90.00, 90.00, 90.00 degrees
Last column: magnetic moment on the atom in μB.
Fractional positions:
Se 0.0000 0.0000 0.0000  0.01
Te 0.0000 0.5000 0.0000  0.06
Te 0.5000 0.0000 0.0000  0.06
Sb 0.0000 0.0000 0.5000  0.39
K 0.5000 0.5000 0.5000  0.01

## Properties
Total magnetic moment = 1.2 μB per cell
Raw formation energy = 18 meV per atom